Below is a relaxed Tb2GaCu2 crystal, with properties calculated at the PBE level.

Summary:
For the density of states at the Fermi level, the calculation gives 9.75 states/eV/cell. The symmetry is C2/m, No. 12. Its formation enthalpy at 0 K is -1.8 eV per formula unit. The total energy comes out at -0.164 Ha/atom.

Unit cell a=4.256 b=5.595 c=9.566 alpha=86.74 beta=77.15 gamma=67.64
Positions (direct):
Tb 0.677 0.306 0.341
Tb 0.914 0.282 0.891
Tb 0.323 0.694 0.659
Tb 0.086 0.718 0.109
Ga 0.621 0.105 0.653
Ga 0.379 0.895 0.347
Cu 0.076 0.284 0.564
Cu 0.626 0.861 0.887
Cu 0.924 0.716 0.436
Cu 0.374 0.139 0.113


Below is a relaxed TbGa4Cu2 crystal, with properties calculated at the PBE level.

Summary:
For the density of states at the Fermi level, the calculation gives 9.60 states/eV/cell. The symmetry is Pnma, No. 62. The value obtained for the excess energy over the best structure of this formula in the dataset is 0 meV/atom. Its formation enthalpy at 0 K is -2.6 eV per formula unit. The total energy comes out at -0.144 Ha/atom.

Unit cell a=4.267 b=6.585 c=16.841 alpha=90.00 beta=90.00 gamma=90.00
Positions (direct):
Tb 0.750 0.990 0.640
Tb 0.250 0.010 0.360
Tb 0.250 0.490 0.860
Tb 0.750 0.510 0.140
Cu 0.250 0.755 0.536
Cu 0.750 0.245 0.464
Cu 0.750 0.255 0.964
Cu 0.250 0.745 0.036
Cu 0.250 0.975 0.782
Cu 0.750 0.025 0.218
Cu 0.750 0.475 0.718
Cu 0.250 0.525 0.282
Ga 0.250 0.281 0.691
Ga 0.750 0.719 0.309
Ga 0.750 0.781 0.809
Ga 0.250 0.219 0.191
Ga 0.250 0.680 0.684
Ga 0.750 0.320 0.316
Ga 0.750 0.180 0.816
Ga 0.250 0.820 0.184
Ga 0.250 0.159 0.533
Ga 0.750 0.841 0.467
Ga 0.750 0.659 0.967
Ga 0.250 0.341 0.033
Ga 0.250 0.486 0.430
Ga 0.750 0.514 0.570
Ga 0.750 0.986 0.070
Ga 0.250 0.014 0.930


Below is a relaxed Tb2Ga9Cu crystal, with properties calculated at the PBE level.

Summary:
For the density of states at the Fermi level, the calculation gives 4.20 states/eV/cell. The symmetry is P4/mmm, No. 123. Its formation enthalpy at 0 K is -4.1 eV per formula unit. The total energy comes out at -0.137 Ha/atom.

Unit cell a=4.259 b=4.259 c=12.313 alpha=90.00 beta=90.00 gamma=90.00
Positions (direct):
Tb 0.000 0.000 0.321
Tb 0.000 0.000 0.679
Ga 0.500 0.500 0.000
Ga 0.500 0.500 0.337
Ga 0.500 0.500 0.663
Ga 0.500 0.000 0.141
Ga 0.500 0.000 0.500
Ga 0.500 0.000 0.859
Ga 0.000 0.500 0.141
Ga 0.000 0.500 0.500
Ga 0.000 0.500 0.859
Cu 0.000 0.000 0.000


Below is a relaxed Tb2GaCu6 crystal, with properties calculated at the PBE level.

Summary:
For the density of states at the Fermi level, the calculation gives 5.51 states/eV/cell. The symmetry is P-3m1, No. 164. Its formation enthalpy at 0 K is -2.2 eV per formula unit. The total energy comes out at -0.159 Ha/atom.

Unit cell a=5.489 b=5.489 c=5.620 alpha=90.00 beta=90.00 gamma=120.00
Positions (direct):
Tb 0.667 0.333 0.844
Tb 0.333 0.667 0.156
Ga 0.000 0.000 0.000
Cu 0.360 0.180 0.340
Cu 0.820 0.640 0.340
Cu 0.820 0.180 0.340
Cu 0.640 0.820 0.660
Cu 0.180 0.360 0.660
Cu 0.180 0.820 0.660


Below is a relaxed TbGa4Cu12 crystal, with properties calculated at the PBE level.

Summary:
For the density of states at the Fermi level, the calculation gives 8.41 states/eV/cell. The symmetry is Im-3, No. 204. Its formation enthalpy at 0 K is 5.1 eV per formula unit. The total energy comes out at -0.131 Ha/atom.

Unit cell a=7.148 b=7.148 c=7.148 alpha=109.47 beta=109.47 gamma=109.47
Positions (direct):
Tb 0.000 0.000 0.000
Ga 0.000 0.500 0.000
Ga 0.500 0.000 0.000
Ga 0.500 0.500 0.500
Ga 0.000 0.000 0.500
Cu 0.853 0.355 0.208
Cu 0.355 0.502 0.147
Cu 0.792 0.147 0.645
Cu 0.355 0.208 0.853
Cu 0.208 0.853 0.355
Cu 0.645 0.498 0.853
Cu 0.502 0.147 0.355
Cu 0.498 0.853 0.645
Cu 0.645 0.792 0.147
Cu 0.853 0.645 0.498
Cu 0.147 0.355 0.502
Cu 0.147 0.645 0.792


Below is a relaxed Tb4GaCu2 crystal, with properties calculated at the PBE level.

Summary:
For the density of states at the Fermi level, the calculation gives 12.98 states/eV/cell. The symmetry is Cc, No. 9. The value obtained for the excess energy over the best structure of this formula in the dataset is 0 meV/atom. Its formation enthalpy at 0 K is -1.7 eV per formula unit. The total energy comes out at -0.165 Ha/atom.

Unit cell a=6.782 b=6.979 c=8.510 alpha=108.52 beta=107.62 gamma=103.50
Positions (direct):
Tb 0.000 0.253 0.403
Tb 0.397 0.477 0.258
Tb 0.881 0.661 0.676
Tb 0.726 0.129 0.703
Tb 0.390 0.969 0.242
Tb 0.272 0.176 0.797
Tb 0.455 0.735 0.824
Tb 0.847 0.601 0.097
Ga 0.207 0.778 0.476
Ga 0.981 0.052 0.024
Cu 0.469 0.349 0.575
Cu 0.827 0.858 0.424
Cu 0.654 0.186 0.077
Cu 0.144 0.524 0.924


Below is a relaxed TbGa6Cu12 crystal, with properties calculated at the PBE level.

Summary:
For the density of states at the Fermi level, the calculation gives 3.60 states/eV/cell. The symmetry is R-3m, No. 166. Its formation enthalpy at 0 K is -1.0 eV per formula unit. The total energy comes out at -0.141 Ha/atom.

Unit cell a=6.832 b=6.832 c=6.832 alpha=104.16 beta=104.16 gamma=104.16
Positions (direct):
Tb 0.000 0.000 0.000
Ga 0.704 0.280 0.280
Ga 0.280 0.280 0.704
Ga 0.280 0.704 0.280
Ga 0.720 0.720 0.296
Ga 0.296 0.720 0.720
Ga 0.720 0.296 0.720
Cu 0.888 0.112 0.500
Cu 0.870 0.622 0.622
Cu 0.622 0.622 0.870
Cu 0.378 0.130 0.378
Cu 0.378 0.378 0.130
Cu 0.130 0.378 0.378
Cu 0.112 0.500 0.888
Cu 0.500 0.888 0.112
Cu 0.112 0.888 0.500
Cu 0.888 0.500 0.112
Cu 0.500 0.112 0.888
Cu 0.622 0.870 0.622


Below is a relaxed Tb2GaCu9 crystal, with properties calculated at the PBE level.

Summary:
For the density of states at the Fermi level, the calculation gives 5.39 states/eV/cell. The symmetry is R-3m, No. 166. Its formation enthalpy at 0 K is -0.9 eV per formula unit. The total energy comes out at -0.153 Ha/atom.

Unit cell a=5.097 b=5.097 c=8.738 alpha=73.04 beta=73.04 gamma=60.00
Positions (direct):
Tb 0.865 0.865 0.404
Tb 0.135 0.135 0.596
Ga 0.000 0.000 0.000
Cu 0.667 0.667 0.999
Cu 0.333 0.333 0.001
Cu 0.500 0.500 0.500
Cu 0.417 0.417 0.245
Cu 0.921 0.417 0.245
Cu 0.417 0.921 0.245
Cu 0.583 0.583 0.755
Cu 0.583 0.079 0.755
Cu 0.079 0.583 0.755


Which of these has the highest formation enthalpy at 0 K?
TbGa4Cu12


Which value of formation enthalpy at 0 K does entry 2 give?
-2.6 eV per formula unit


Which of these has the lowest total energy?
Tb4GaCu2